Record 1
Crystalline Al2InNi at its relaxed geometry. Source: Alexandria, functional GGA-PBE.

Output
**Fermi-level density of states**: 3.619 states/eV/cell
**Final energy**: -3.892 eV/atom
**E_form**: 0.11 eV/atom
**V**: 73.49 Å³/f.u.

```
data_Al2InNi
_chemical_formula_sum 'Al4 In2 Ni2'
_cell_length_a 4.1063
_cell_length_b 4.1063
_cell_length_c 9.1874
_cell_angle_alpha 77.09
_cell_angle_beta 77.09
_cell_angle_gamma 90.00
_space_group_name_H-M_alt 'P 1'
_space_group_IT_number 1
loop_
_space_group_symop_operation_xyz
'x,y,z'
loop_
_atom_site_label
_atom_site_type_symbol
_atom_site_fract_x
_atom_site_fract_y
_atom_site_fract_z
Ni1 Ni 0.5000 0.5000 0.0000
Ni2 Ni 0.2500 0.7500 0.5000
Al1 Al 0.5769 0.1250 0.2500
Al2 Al 0.1731 0.6250 0.2500
Al3 Al 0.3750 0.4231 0.7500
Al4 Al 0.8750 0.8269 0.7500
In1 In 0.0000 0.0000 0.0000
In2 In 0.7500 0.2500 0.5000
```

=====

Record 2
Crystalline AlIn2Ni at its relaxed geometry. Source: Alexandria, functional GGA-PBE.

Output
**Fermi-level density of states**: 2.999 states/eV/cell
**Final energy**: -3.648 eV/atom
**E_form**: 0.10 eV/atom
**V**: 77.10 Å³/f.u.

```
data_AlIn2Ni
_chemical_formula_sum 'Al1 In2 Ni1'
_cell_length_a 8.7445
_cell_length_b 8.7445
_cell_length_c 8.7445
_cell_angle_alpha 21.27
_cell_angle_beta 21.27
_cell_angle_gamma 21.27
_space_group_name_H-M_alt 'P 1'
_space_group_IT_number 1
loop_
_space_group_symop_operation_xyz
'x,y,z'
loop_
_atom_site_label
_atom_site_type_symbol
_atom_site_fract_x
_atom_site_fract_y
_atom_site_fract_z
Ni1 Ni 0.2500 0.2500 0.2500
Al1 Al 0.7500 0.7500 0.7500
In1 In 0.9905 0.9905 0.9905
In2 In 0.5095 0.5095 0.5095
```

=====

Record 3
Crystalline AlIn2Ni at its relaxed geometry. Source: Alexandria, functional GGA-PBE.

Output
**Fermi-level density of states**: 2.468 states/eV/cell
**Final energy**: -3.831 eV/atom
**E_form**: -0.08 eV/atom
**V**: 76.51 Å³/f.u.

```
data_AlIn2Ni
_chemical_formula_sum 'Al1 In2 Ni1'
_cell_length_a 3.0367
_cell_length_b 3.0320
_cell_length_c 8.3098
_cell_angle_alpha 90.00
_cell_angle_beta 90.00
_cell_angle_gamma 90.00
_space_group_name_H-M_alt 'P 1'
_space_group_IT_number 1
loop_
_space_group_symop_operation_xyz
'x,y,z'
loop_
_atom_site_label
_atom_site_type_symbol
_atom_site_fract_x
_atom_site_fract_y
_atom_site_fract_z
Ni1 Ni 0.0000 0.0000 0.5337
Al1 Al 0.5000 0.5000 0.6830
In1 In 0.0000 0.0000 0.9715
In2 In 0.5000 0.5000 0.3118
```

=====

Record 4
Crystalline AlInNi2 at its relaxed geometry. Source: Alexandria, functional GGA-PBE.

Output
**Fermi-level density of states**: 2.960 states/eV/cell
**Final energy**: -4.431 eV/atom
**E_form**: 0.08 eV/atom
**V**: 62.07 Å³/f.u.

```
data_AlInNi2
_chemical_formula_sum 'Al2 In2 Ni4'
_cell_length_a 6.7379
_cell_length_b 6.7379
_cell_length_c 5.4933
_cell_angle_alpha 52.17
_cell_angle_beta 52.17
_cell_angle_gamma 90.00
_space_group_name_H-M_alt 'P 1'
_space_group_IT_number 1
loop_
_space_group_symop_operation_xyz
'x,y,z'
loop_
_atom_site_label
_atom_site_type_symbol
_atom_site_fract_x
_atom_site_fract_y
_atom_site_fract_z
Ni1 Ni 0.5931 0.1250 0.2500
Ni2 Ni 0.1569 0.6250 0.2500
Ni3 Ni 0.3750 0.4069 0.7500
Ni4 Ni 0.8750 0.8431 0.7500
Al1 Al 0.5000 0.5000 0.0000
Al2 Al 0.2500 0.7500 0.5000
In1 In 0.0000 0.0000 0.0000
In2 In 0.7500 0.2500 0.5000
```